First-principles (GGA-PBE) data for a relaxed AsPt crystal, as listed in Alexandria via LeMat-Bulk.

The value obtained for the volume is 28.08 Å³/atom. The value obtained for the total energy is -88.52 eV per cell.

It has space group P4/m (No. 83), with a = 10.565 Å, b = 10.565 Å, c = 4.025 Å, α = 90.00°, β = 90.00° and γ = 90.00°. The inequivalent atoms are As at (0.086, 0.671, 0.000), As at (0.235, 0.370, 0.500), Pt at (0.120, 0.431, 0.000) and Pt at (0.206, 0.606, 0.500).

First-principles (GGA-PBE) data for a relaxed AsPt crystal, as listed in Alexandria via LeMat-Bulk.

The value obtained for the volume is 16.70 Å³/atom. The value obtained for the total energy is -42.38 eV per cell.

It has space group I4_1/amd (No. 141, origin choice 2), with a = 3.907 Å, b = 3.907 Å, c = 8.753 Å, α = 90.00°, β = 90.00° and γ = 90.00°. The inequivalent atoms are As at (0.000, 0.250, 0.375) and Pt at (0.000, 0.250, 0.875).

Among the records above, which one has the highest volume?
number 1